No. 1
The following is a PBE-GGA calculation of Tm4ZnCoRu2 after structural relaxation, from Alexandria.

Cell lengths 8.2608, 8.2608, 8.2608 Å; angles 33.55, 33.55, 33.55 degrees
With the nearest neighbours (Å) after each atom.
Element x y z (fractional)
Tm (0.1210, 0.1210, 0.1210)  1 Co 2.83, 4 Ru 2.88-2.99, 3 Zn 2.95
Tm (0.3720, 0.3720, 0.3720)  4 Ru 2.88-2.95, 3 Co 2.90, 1 Zn 2.99
Tm (0.6280, 0.6280, 0.6280)  4 Ru 2.88-2.95, 3 Co 2.90, 1 Zn 2.99
Tm (0.8790, 0.8790, 0.8790)  1 Co 2.83, 4 Ru 2.88-2.99, 3 Zn 2.95
Zn (0.5000, 0.5000, 0.5000)  8 Tm 2.95-2.99
Co (0.0000, 0.0000, 0.0000)  8 Tm 2.83-2.90
Ru (0.2490, 0.2490, 0.2490)  8 Tm 2.88-2.99
Ru (0.7510, 0.7510, 0.7510)  8 Tm 2.88-2.99

Results
SG = No. 166
formation energy = -388 meV per atom

=====

No. 2
The following is a PBE-GGA calculation of Pa2MnCo3Si4 after structural relaxation, from Alexandria.

Cell lengths 3.9386, 3.9386, 9.5335 Å; angles 90.00, 90.00, 90.00 degrees
With the nearest neighbours (Å) after each atom.
Element x y z (fractional)
Pa (0.0000, 0.5000, 0.2494)  8 Si 3.00-3.09, 6 Co 3.02-3.10, 2 Mn 3.10
Pa (0.5000, 0.0000, 0.7506)  8 Si 3.00-3.09, 6 Co 3.02-3.10, 2 Mn 3.10
Mn (0.0000, 0.0000, 0.5000)  4 Si 2.34
Co (0.0000, 0.5000, 0.8728)  5 Si 2.29-2.31
Co (0.5000, 0.0000, 0.1272)  5 Si 2.29-2.31
Co (0.5000, 0.5000, 0.5000)  4 Si 2.34
Si (0.0000, 0.0000, 0.0000)  4 Co 2.31
Si (0.0000, 0.5000, 0.6330)  3 Co 2.29-2.34, 2 Mn 2.34
Si (0.5000, 0.0000, 0.3670)  3 Co 2.29-2.34, 2 Mn 2.34
Si (0.5000, 0.5000, 0.0000)  4 Co 2.31

Results
SG = No. 115
formation energy (no corrections) = -0.73 eV/atom

=====

No. 3
The following is a PBE-GGA calculation of LaSmTm4 after structural relaxation, from Alexandria.

Cell lengths 6.6436, 6.6436, 6.6436 Å; angles 60.00, 60.00, 60.00 degrees
With the nearest neighbours (Å) after each atom.
Element x y z (fractional)
La (0.0000, 0.0000, 0.0000)  12 Tm 3.90, 4 Sm 4.07
Sm (0.2500, 0.2500, 0.2500)  12 Tm 3.89, 4 La 4.07
Tm (0.1261, 0.6246, 0.6246)  6 Tm 3.31-3.33
Tm (0.6246, 0.1261, 0.6246)  6 Tm 3.31-3.33
Tm (0.6246, 0.6246, 0.1261)  6 Tm 3.31-3.33
Tm (0.6246, 0.6246, 0.6246)  6 Tm 3.31-3.33

Results
polymorph energy (0 for the lowest one) = 0.136 eV/atom
SG = No. 216
formation energy = 280 meV per atom

=====

No. 4
The following is a PBE-GGA calculation of Ti7Nb3 after structural relaxation, from Alexandria.

Cell lengths 7.2705, 7.2705, 5.6908 Å; angles 106.40, 106.40, 37.26 degrees
With the nearest neighbours (Å) after each atom.
Element x y z (fractional)
Ti (0.0000, 0.0000, 0.0000)  4 Nb 2.76-2.85, 4 Ti 2.89
Ti (0.1979, 0.1979, 0.7608)  5 Nb 2.69-2.85, 3 Ti 2.86-2.92
Ti (0.3934, 0.3934, 0.6152)  5 Nb 2.77-2.93, 4 Ti 2.81-3.04
Ti (0.3992, 0.3992, 0.1204)  8 Ti 2.81-2.92, 1 Nb 3.04
Ti (0.6008, 0.6008, 0.8796)  8 Ti 2.81-2.92, 1 Nb 3.04
Ti (0.6066, 0.6066, 0.3848)  5 Nb 2.77-2.93, 4 Ti 2.81-3.04
Ti (0.8021, 0.8021, 0.2392)  5 Nb 2.69-2.85, 3 Ti 2.86-2.92
Nb (0.0000, 0.0000, 0.5000)  8 Ti 2.69-2.93
Nb (0.2037, 0.2037, 0.2656)  8 Ti 2.72-2.86
Nb (0.7963, 0.7963, 0.7344)  8 Ti 2.72-2.86

Results
SG = No. 12
formation energy = 48 meV per atom

=====

Number 1: VASP energy -0.22015 Ha/atom. Number 2: VASP energy -0.28820 Ha/atom. Number 3: VASP energy -0.15833 Ha/atom. Number 4: VASP energy -0.31235 Ha/atom.